(1)
## Ca2YCl (GGA-PBE)

Data for a relaxed Ca2YCl crystal.

Calculated volume, Å³ per atom: 36.59
Energy relative to the elements, uncorrected, eV/f.u.: 0.16
E, eV/atom: -3.039
N(E_F), states/eV per cell: 10.27
Energy relative to the lowest polymorph listed for this composition, eV per formula unit: 3.24

Lattice parameters (Å, degrees): 5.915 5.915 5.915 60.00 60.00 60.00
Fractional coordinates of all 4 atoms:
Ca: 0.250 0.250 0.250
Ca: 0.750 0.750 0.750
Cl: 0.000 0.000 0.000
Y: 0.500 0.500 0.500



(2)
## Ca2YCl (GGA-PBE)

Data for a relaxed Ca2YCl crystal.

Calculated volume, Å³ per atom: 35.06
Energy relative to the elements, uncorrected, eV/f.u.: -0.06
E, eV/atom: -3.094
N(E_F), states/eV per cell: 3.62
Energy relative to the lowest polymorph listed for this composition, eV per formula unit: 3.02

Lattice parameters (Å, degrees): 5.832 5.832 5.832 60.00 60.00 60.00
Fractional coordinates of all 4 atoms:
Ca: 0.000 0.000 0.000
Ca: 0.250 0.250 0.250
Y: 0.750 0.750 0.750
Cl: 0.500 0.500 0.500



(3)
## CaYCl5 (GGA-PBE)

Data for a relaxed CaYCl5 crystal.

Calculated volume, Å³ per atom: 34.30
Energy relative to the elements, uncorrected, eV/f.u.: -15.82
E, eV/atom: -4.788
N(E_F), states/eV per cell: 0.00

Lattice parameters (Å, degrees): 7.165 7.165 10.924 112.27 112.27 81.23
Fractional coordinates of all 14 atoms:
Cl: 0.219 0.281 0.250
Cl: 0.156 0.120 0.861
Cl: 0.844 0.880 0.139
Cl: 0.796 0.235 0.500
Cl: 0.380 0.344 0.639
Cl: 0.620 0.656 0.361
Cl: 0.204 0.765 0.500
Cl: 0.265 0.704 0.000
Cl: 0.781 0.719 0.750
Cl: 0.735 0.296 0.000
Ca: 0.908 0.592 0.250
Ca: 0.092 0.408 0.750
Y: 0.500 0.500 0.500
Y: 0.000 0.000 0.000



(4)
## Ca2YCl (GGA-PBE)

Data for a relaxed Ca2YCl crystal.

Calculated volume, Å³ per atom: 32.06
Energy relative to the elements, uncorrected, eV/f.u.: -2.51
E, eV/atom: -3.705
N(E_F), states/eV per cell: 1.86
Energy relative to the lowest polymorph listed for this composition, eV per formula unit: 0.57

Lattice parameters (Å, degrees): 3.692 3.692 10.609 90.00 90.00 117.51
Fractional coordinates of all 4 atoms:
Ca: 0.000 0.000 0.993
Ca: 0.500 0.500 0.292
Y: 0.500 0.500 0.714
Cl: 0.000 0.000 0.501



(5)
## Ca2YCl (GGA-PBE)

Data for a relaxed Ca2YCl crystal.

Calculated volume, Å³ per atom: 31.47
Energy relative to the elements, uncorrected, eV/f.u.: -2.73
E, eV/atom: -3.760
N(E_F), states/eV per cell: 3.64
Energy relative to the lowest polymorph listed for this composition, eV per formula unit: 0.36

Lattice parameters (Å, degrees): 10.510 10.510 10.510 20.61 20.61 20.61
Fractional coordinates of all 4 atoms:
Y: 0.765 0.765 0.765
Cl: 0.498 0.498 0.498
Ca: 0.003 0.003 0.003
Ca: 0.234 0.234 0.234



(6)
## CaYCl2 (GGA-PBE)

Data for a relaxed CaYCl2 crystal.

Calculated volume, Å³ per atom: 24.50
Energy relative to the elements, uncorrected, eV/f.u.: -5.14
E, eV/atom: -4.325
N(E_F), states/eV per cell: 2.74
Energy relative to the lowest polymorph listed for this composition, eV per formula unit: 0.80

Lattice parameters (Å, degrees): 4.819 4.819 6.267 78.40 78.40 43.60
Fractional coordinates of all 4 atoms:
Ca: 0.750 0.750 0.750
Cl: 0.990 0.990 0.019
Cl: 0.510 0.510 0.481
Y: 0.250 0.250 0.250



(7)
## Ca2YCl (GGA-PBE)

Data for a relaxed Ca2YCl crystal.

Calculated volume, Å³ per atom: 33.73
Energy relative to the elements, uncorrected, eV/f.u.: -1.04
E, eV/atom: -3.340
N(E_F), states/eV per cell: 2.92
Energy relative to the lowest polymorph listed for this composition, eV per formula unit: 2.04

Lattice parameters (Å, degrees): 3.788 6.317 5.637 90.00 90.00 90.00
Fractional coordinates of all 4 atoms:
Cl: 0.500 0.000 0.500
Ca: 0.000 0.000 0.000
Ca: 0.500 0.500 0.000
Y: 0.000 0.500 0.500



(8)
## Ca2YCl (GGA-PBE)

Data for a relaxed Ca2YCl crystal.

Calculated volume, Å³ per atom: 33.14
Energy relative to the elements, uncorrected, eV/f.u.: -0.54
E, eV/atom: -3.214
N(E_F), states/eV per cell: 4.99
Energy relative to the lowest polymorph listed for this composition, eV per formula unit: 2.54

Lattice parameters (Å, degrees): 6.821 6.821 6.821 139.51 139.51 58.60
Fractional coordinates of all 4 atoms:
Y: 0.750 0.250 0.500
Ca: 0.000 0.000 0.000
Ca: 0.500 0.500 0.000
Cl: 0.250 0.750 0.500



(9)
## Ca2YCl (GGA-PBE)

Data for a relaxed Ca2YCl crystal.

Calculated volume, Å³ per atom: 34.61
Energy relative to the elements, uncorrected, eV/f.u.: -0.83
E, eV/atom: -3.286
N(E_F), states/eV per cell: 4.41
Energy relative to the lowest polymorph listed for this composition, eV per formula unit: 2.25

Lattice parameters (Å, degrees): 7.230 7.230 7.230 142.61 142.61 53.91
Fractional coordinates of all 4 atoms:
Y: 0.750 0.250 0.500
Ca: 0.000 0.000 0.000
Ca: 0.250 0.750 0.500
Cl: 0.500 0.500 0.000



(10)
## Ca2YCl (GGA-PBE)

Data for a relaxed Ca2YCl crystal.

Calculated volume, Å³ per atom: 34.67
Energy relative to the elements, uncorrected, eV/f.u.: -1.27
E, eV/atom: -3.395
N(E_F), states/eV per cell: 3.39
Energy relative to the lowest polymorph listed for this composition, eV per formula unit: 1.82

Lattice parameters (Å, degrees): 6.116 6.116 3.707 90.00 90.00 90.00
Fractional coordinates of all 4 atoms:
Ca: 0.500 0.500 0.000
Ca: 0.000 0.000 0.000
Cl: 0.500 0.000 0.500
Y: 0.000 0.500 0.500



(11)
## CaYCl2 (GGA-PBE)

Data for a relaxed CaYCl2 crystal.

Calculated volume, Å³ per atom: 29.05
Energy relative to the elements, uncorrected, eV/f.u.: -1.68
E, eV/atom: -3.459
N(E_F), states/eV per cell: 6.42
Energy relative to the lowest polymorph listed for this composition, eV per formula unit: 4.26

Lattice parameters (Å, degrees): 5.477 5.477 5.477 60.00 60.00 60.00
Fractional coordinates of all 4 atoms:
Cl: 0.000 0.000 0.000
Cl: 0.250 0.250 0.250
Ca: 0.500 0.500 0.500
Y: 0.750 0.750 0.750



(12)
## Ca4YCl (GGA-PBE)

Data for a relaxed Ca4YCl crystal.

Calculated volume, Å³ per atom: 41.22
Energy relative to the elements, uncorrected, eV/f.u.: 0.96
E, eV/atom: -2.560
N(E_F), states/eV per cell: 4.78

Lattice parameters (Å, degrees): 7.046 7.046 7.046 60.00 60.00 60.00
Fractional coordinates of all 6 atoms:
Cl: 0.750 0.750 0.750
Ca: 0.881 0.373 0.373
Ca: 0.373 0.881 0.373
Ca: 0.373 0.373 0.881
Ca: 0.373 0.373 0.373
Y: 0.000 0.000 0.000



Look up the N(E_F) of the seventh one. 2.92 states/eV per cell